[1]
VASP calculation (GGA-PBE) on a relaxed structure of KFeS.

Summary:
Total magnetization: 0.0 μB/cell
Raw formation energy: -0.548 eV/atom

a = 3.714 Å, b = 3.714 Å, c = 10.231 Å
α = 90.00°, β = 90.00°, γ = 90.00°
Fractional positions:
Fe (0.000, 0.000, 0.000)
Fe (0.500, 0.500, 0.000)
K (0.000, 0.500, 0.298)
K (0.500, 0.000, 0.702)
S (0.000, 0.500, 0.885)
S (0.500, 0.000, 0.115)

---

[2]
VASP calculation (GGA-PBE) on a relaxed structure of KFe2S2.

Summary:
Distance to the lowest polymorph of the same formula: 708 meV/atom
Total magnetization: 0.0 μB/cell
Raw formation energy: 0.026 eV/atom

a = 4.323 Å, b = 4.323 Å, c = 5.203 Å
α = 65.45°, β = 65.45°, γ = 90.00°
Fractional positions:
S (0.750, 0.250, 0.500)
S (0.250, 0.750, 0.500)
K (0.000, 0.000, 0.000)
Fe (0.355, 0.355, 0.289)
Fe (0.645, 0.645, 0.711)

---

[3]
VASP calculation (GGA-PBE) on a relaxed structure of KFeS2.

Summary:
Total magnetization: 4.6 μB/cell
Raw formation energy: 0.167 eV/atom

a = 4.782 Å, b = 4.782 Å, c = 4.782 Å
α = 60.00°, β = 60.00°, γ = 60.00°
Fractional positions:
S (0.250, 0.250, 0.250)
S (0.750, 0.750, 0.750)
K (0.000, 0.000, 0.000)
Fe (0.500, 0.500, 0.500)

---

[4]
VASP calculation (GGA-PBE) on a relaxed structure of K3FeS4.

Summary:
Total magnetization: 3.7 μB/cell
Raw formation energy: -0.787 eV/atom

a = 5.154 Å, b = 6.961 Å, c = 7.809 Å
α = 116.47°, β = 109.27°, γ = 90.00°
Fractional positions:
S (0.360, 0.158, 0.719)
S (0.640, 0.439, 0.281)
S (0.792, 0.714, 0.000)
S (0.208, 0.714, 0.000)
K (0.711, 0.059, 0.422)
K (0.000, 0.154, 0.000)
K (0.289, 0.637, 0.578)
Fe (0.500, 0.475, 0.000)

---

[5]
VASP calculation (GGA-PBE) on a relaxed structure of KFeS2.

Summary:
Total magnetization: 0.0 μB/cell
Raw formation energy: -0.663 eV/atom

a = 6.761 Å, b = 6.761 Å, c = 6.225 Å
α = 57.11°, β = 57.11°, γ = 90.00°
Fractional positions:
S (0.754, 0.125, 0.250)
S (0.996, 0.625, 0.250)
S (0.375, 0.246, 0.750)
S (0.875, 0.004, 0.750)
K (0.500, 0.500, 0.000)
K (0.250, 0.750, 0.500)
Fe (0.000, 0.000, 0.000)
Fe (0.750, 0.250, 0.500)

---

[6]
VASP calculation (GGA-PBE) on a relaxed structure of KFe2S2.

Summary:
Distance to the lowest polymorph of the same formula: 149 meV/atom
Total magnetization: 5.0 μB/cell
Raw formation energy: -0.533 eV/atom

a = 3.629 Å, b = 3.629 Å, c = 6.994 Å
α = 90.00°, β = 90.00°, γ = 90.00°
Fractional positions:
K (0.000, 0.000, 0.000)
Fe (0.500, 0.000, 0.500)
Fe (0.000, 0.500, 0.500)
S (0.500, 0.500, 0.715)
S (0.500, 0.500, 0.285)

---

[7]
VASP calculation (GGA-PBE) on a relaxed structure of KFe2S2.

Summary:
Distance to the lowest polymorph of the same formula: 687 meV/atom
Total magnetization: 13.5 μB/cell
Raw formation energy: 0.005 eV/atom

a = 7.545 Å, b = 7.545 Å, c = 3.162 Å
α = 90.00°, β = 90.00°, γ = 90.00°
Fractional positions:
S (0.155, 0.655, 0.500)
S (0.655, 0.845, 0.500)
S (0.845, 0.345, 0.500)
S (0.345, 0.155, 0.500)
K (0.000, 0.000, 0.000)
K (0.500, 0.500, 0.000)
Fe (0.395, 0.895, 0.000)
Fe (0.895, 0.605, 0.000)
Fe (0.605, 0.105, 0.000)
Fe (0.105, 0.395, 0.000)

---

[8]
VASP calculation (GGA-PBE) on a relaxed structure of KFeS3.

Summary:
Total magnetization: 0.0 μB/cell
Raw formation energy: -0.086 eV/atom

a = 4.579 Å, b = 4.579 Å, c = 4.579 Å
α = 90.00°, β = 90.00°, γ = 90.00°
Fractional positions:
S (0.000, 0.500, 0.000)
S (0.000, 0.000, 0.500)
S (0.500, 0.000, 0.000)
K (0.500, 0.500, 0.500)
Fe (0.000, 0.000, 0.000)

---

[9]
VASP calculation (GGA-PBE) on a relaxed structure of K2FeS4.

Summary:
Total magnetization: 5.0 μB/cell
Raw formation energy: -0.404 eV/atom

a = 4.733 Å, b = 4.733 Å, c = 8.501 Å
α = 73.84°, β = 73.84°, γ = 90.00°
Fractional positions:
S (0.857, 0.857, 0.285)
S (0.143, 0.143, 0.715)
S (0.000, 0.500, 0.000)
S (0.500, 0.000, 0.000)
K (0.647, 0.647, 0.707)
K (0.353, 0.353, 0.293)
Fe (0.000, 0.000, 0.000)

---

[10]
VASP calculation (GGA-PBE) on a relaxed structure of KScFeS3.

Summary:
Total magnetization: 7.7 μB/cell
Raw formation energy: -1.281 eV/atom

a = 3.786 Å, b = 8.620 Å, c = 9.190 Å
α = 110.05°, β = 90.00°, γ = 90.00°
Fractional positions:
K (0.750, 0.791, 0.767)
K (0.250, 0.209, 0.233)
Sc (0.250, 0.663, 0.141)
Sc (0.750, 0.337, 0.859)
Fe (0.250, 0.078, 0.597)
Fe (0.750, 0.922, 0.403)
S (0.250, 0.792, 0.458)
S (0.750, 0.876, 0.145)
S (0.750, 0.465, 0.152)
S (0.750, 0.208, 0.542)
S (0.250, 0.535, 0.848)
S (0.250, 0.124, 0.855)

---

[11]
VASP calculation (GGA-PBE) on a relaxed structure of K2Fe2SeS3.

Summary:
Total magnetization: 5.2 μB/cell
Raw formation energy: -0.728 eV/atom

a = 5.439 Å, b = 6.807 Å, c = 6.667 Å
α = 116.84°, β = 98.34°, γ = 105.04°
Fractional positions:
K (0.226, 0.368, 0.655)
K (0.763, 0.626, 0.343)
Fe (0.249, 0.999, 0.007)
Fe (0.756, 0.002, 0.002)
Se (0.424, 0.938, 0.692)
S (0.121, 0.301, 0.112)
S (0.577, 0.065, 0.287)
S (0.885, 0.700, 0.902)

---

[12]
VASP calculation (GGA-PBE) on a relaxed structure of KSrFe2S.

Summary:
Total magnetization: 3.7 μB/cell
Raw formation energy: 0.361 eV/atom

a = 4.428 Å, b = 5.637 Å, c = 4.428 Å
α = 90.00°, β = 90.00°, γ = 90.00°
Fractional positions:
S (0.000, 0.000, 0.000)
Sr (0.500, 0.500, 0.500)
K (0.000, 0.500, 0.000)
Fe (0.000, 0.000, 0.500)
Fe (0.500, 0.000, 0.000)

---

[13]
VASP calculation (GGA-PBE) on a relaxed structure of KTaFeS3.

Summary:
Total magnetization: 4.0 μB/cell
Raw formation energy: -0.997 eV/atom

a = 3.485 Å, b = 8.473 Å, c = 9.334 Å
α = 115.27°, β = 90.00°, γ = 90.00°
Fractional positions:
K (0.250, 0.237, 0.254)
K (0.750, 0.763, 0.746)
Ta (0.250, 0.700, 0.175)
Ta (0.750, 0.300, 0.825)
Fe (0.250, 0.085, 0.607)
Fe (0.750, 0.915, 0.393)
S (0.750, 0.889, 0.140)
S (0.250, 0.111, 0.860)
S (0.250, 0.779, 0.461)
S (0.750, 0.221, 0.539)
S (0.750, 0.466, 0.133)
S (0.250, 0.534, 0.867)

---

[14]
VASP calculation (GGA-PBE) on a relaxed structure of KFeTcS3.

Summary:
Total magnetization: 3.1 μB/cell
Raw formation energy: -0.679 eV/atom

a = 3.562 Å, b = 8.201 Å, c = 9.045 Å
α = 115.30°, β = 90.00°, γ = 90.00°
Fractional positions:
K (0.250, 0.244, 0.254)
K (0.750, 0.756, 0.746)
Fe (0.250, 0.089, 0.605)
Fe (0.750, 0.911, 0.395)
Tc (0.250, 0.702, 0.169)
Tc (0.750, 0.298, 0.831)
S (0.750, 0.886, 0.144)
S (0.250, 0.114, 0.856)
S (0.250, 0.792, 0.454)
S (0.750, 0.208, 0.546)
S (0.750, 0.477, 0.134)
S (0.250, 0.523, 0.866)

---

[15]
VASP calculation (GGA-PBE) on a relaxed structure of K3Th3FeS8.

Summary:
Total magnetization: 3.1 μB/cell
Raw formation energy: -1.492 eV/atom

a = 8.116 Å, b = 8.115 Å, c = 8.874 Å
α = 117.20°, β = 90.00°, γ = 120.01°
Fractional positions:
K (0.000, 0.000, 0.000)
K (0.000, 0.500, 0.000)
K (0.500, 0.500, 0.000)
Th (0.500, 0.000, 0.500)
Th (0.500, 0.500, 0.500)
Th (0.000, 0.500, 0.500)
Fe (0.000, 0.000, 0.500)
S (0.262, 0.523, 0.285)
S (0.738, 0.477, 0.715)
S (0.775, 0.549, 0.308)
S (0.225, 0.451, 0.692)
S (0.774, 0.033, 0.308)
S (0.226, 0.967, 0.692)
S (0.259, 0.033, 0.308)
S (0.741, 0.967, 0.692)

---

[16]
VASP calculation (GGA-PBE) on a relaxed structure of KU4Fe3S12.

Summary:
Total magnetization: 16.0 μB/cell
Raw formation energy: -0.851 eV/atom

a = 8.445 Å, b = 8.445 Å, c = 8.445 Å
α = 109.47°, β = 109.47°, γ = 109.47°
Fractional positions:
K (0.000, 0.000, 0.000)
U (0.500, 0.000, 0.000)
U (0.500, 0.500, 0.500)
U (0.000, 0.500, 0.000)
U (0.000, 0.000, 0.500)
Fe (0.000, 0.500, 0.500)
Fe (0.500, 0.500, 0.000)
Fe (0.500, 0.000, 0.500)
S (0.322, 0.832, 0.154)
S (0.678, 0.168, 0.846)
S (0.678, 0.832, 0.509)
S (0.846, 0.678, 0.168)
S (0.832, 0.154, 0.322)
S (0.168, 0.491, 0.322)
S (0.491, 0.322, 0.168)
S (0.168, 0.846, 0.678)
S (0.322, 0.168, 0.491)
S (0.154, 0.322, 0.832)
S (0.832, 0.509, 0.678)
S (0.509, 0.678, 0.832)

---

[17]
VASP calculation (GGA-PBE) on a relaxed structure of KUFe2S4.

Summary:
Total magnetization: 4.6 μB/cell
Raw formation energy: -0.638 eV/atom

a = 6.293 Å, b = 5.991 Å, c = 5.991 Å
α = 68.50°, β = 58.32°, γ = 58.32°
Fractional positions:
K (0.000, 0.000, 0.000)
U (0.500, 0.500, 0.500)
Fe (0.165, 0.335, 0.335)
Fe (0.835, 0.665, 0.665)
S (0.484, 0.064, 0.517)
S (0.065, 0.936, 0.483)
S (0.935, 0.517, 0.064)
S (0.516, 0.483, 0.936)

---

[18]
VASP calculation (GGA-PBE) on a relaxed structure of KUFeS4.

Summary:
Total magnetization: 3.7 μB/cell
Raw formation energy: -1.030 eV/atom

a = 6.438 Å, b = 5.877 Å, c = 8.921 Å
α = 90.00°, β = 107.43°, γ = 90.00°
Fractional positions:
K (0.740, 0.750, 0.946)
K (0.260, 0.250, 0.054)
U (0.742, 0.750, 0.444)
U (0.258, 0.250, 0.556)
Fe (0.232, 0.750, 0.336)
Fe (0.768, 0.250, 0.664)
S (0.017, 0.515, 0.699)
S (0.983, 0.015, 0.301)
S (0.983, 0.485, 0.301)
S (0.017, 0.985, 0.699)
S (0.434, 0.750, 0.173)
S (0.566, 0.250, 0.827)
S (0.433, 0.750, 0.586)
S (0.567, 0.250, 0.414)

---

[19]
VASP calculation (GGA-PBE) on a relaxed structure of K2UFeS4.

Summary:
Total magnetization: 2.0 μB/cell
Raw formation energy: -0.899 eV/atom

a = 6.892 Å, b = 6.892 Å, c = 6.892 Å
α = 94.26°, β = 117.57°, γ = 117.57°
Fractional positions:
K (0.500, 0.750, 0.250)
K (0.000, 0.000, 0.000)
U (0.500, 0.250, 0.750)
Fe (0.000, 0.500, 0.500)
S (0.599, 0.383, 0.448)
S (0.065, 0.216, 0.617)
S (0.935, 0.552, 0.151)
S (0.401, 0.849, 0.784)

---

[20]
VASP calculation (GGA-PBE) on a relaxed structure of KUFeS3.

Summary:
Total magnetization: 6.9 μB/cell
Raw formation energy: -1.106 eV/atom

a = 3.829 Å, b = 8.857 Å, c = 9.094 Å
α = 110.64°, β = 90.00°, γ = 90.00°
Fractional positions:
K (0.250, 0.200, 0.234)
K (0.750, 0.800, 0.766)
U (0.250, 0.681, 0.165)
U (0.750, 0.319, 0.835)
Fe (0.250, 0.085, 0.585)
Fe (0.750, 0.915, 0.415)
S (0.750, 0.883, 0.149)
S (0.250, 0.117, 0.851)
S (0.250, 0.816, 0.478)
S (0.750, 0.184, 0.522)
S (0.750, 0.458, 0.155)
S (0.250, 0.542, 0.845)

---

[21]
VASP calculation (GGA-PBE) on a relaxed structure of K2U2FeS6.

Summary:
Total magnetization: 4.0 μB/cell
Raw formation energy: -1.101 eV/atom

a = 6.404 Å, b = 6.404 Å, c = 8.002 Å
α = 98.18°, β = 98.18°, γ = 118.72°
Fractional positions:
K (0.826, 0.174, 0.000)
K (0.174, 0.826, 0.000)
U (0.333, 0.667, 0.500)
U (0.667, 0.333, 0.500)
Fe (0.000, 0.000, 0.500)
S (0.770, 0.770, 0.689)
S (0.068, 0.369, 0.690)
S (0.230, 0.230, 0.311)
S (0.369, 0.068, 0.690)
S (0.932, 0.631, 0.310)
S (0.631, 0.932, 0.310)

---

[22]
VASP calculation (GGA-PBE) on a relaxed structure of K4Zr3FeS8.

Summary:
Total magnetization: 3.5 μB/cell
Raw formation energy: -1.304 eV/atom

a = 7.543 Å, b = 8.570 Å, c = 7.546 Å
α = 116.15°, β = 119.98°, γ = 90.00°
Fractional positions:
K (0.500, 0.000, 0.000)
K (0.500, 0.000, 0.500)
K (0.000, 0.000, 0.000)
K (0.000, 0.000, 0.500)
Zr (0.500, 0.500, 0.000)
Zr (0.500, 0.500, 0.500)
Zr (0.000, 0.500, 0.500)
Fe (0.000, 0.500, 0.000)
S (0.230, 0.694, 0.964)
S (0.230, 0.694, 0.460)
S (0.266, 0.299, 0.532)
S (0.734, 0.694, 0.964)
S (0.266, 0.306, 0.036)
S (0.734, 0.701, 0.468)
S (0.770, 0.306, 0.540)
S (0.770, 0.306, 0.036)

---

[23]
VASP calculation (GGA-PBE) on a relaxed structure of KZrFeS3.

Summary:
Total magnetization: 5.8 μB/cell
Raw formation energy: -1.214 eV/atom

a = 3.698 Å, b = 8.654 Å, c = 9.189 Å
α = 111.90°, β = 90.00°, γ = 90.00°
Fractional positions:
K (0.250, 0.217, 0.246)
K (0.750, 0.783, 0.754)
Zr (0.250, 0.681, 0.162)
Zr (0.750, 0.319, 0.838)
Fe (0.250, 0.071, 0.599)
Fe (0.750, 0.929, 0.401)
S (0.750, 0.879, 0.138)
S (0.250, 0.121, 0.862)
S (0.250, 0.787, 0.463)
S (0.750, 0.213, 0.537)
S (0.750, 0.462, 0.149)
S (0.250, 0.538, 0.851)